[1]
# Ba2BeNi (PBE, relaxed)
data_Ba2BeNi
_cell_length_a 7.253
_cell_length_b 4.183
_cell_length_c 8.880
_cell_angle_alpha 90.00
_cell_angle_beta 105.27
_cell_angle_gamma 90.00
_symmetry_space_group_name_H-M 'C 1 m 1'
_symmetry_Int_Tables_number 8
_symmetry_space_group_name_Hall 'C -2y'
loop_
_atom_site_label
_atom_site_fract_x
_atom_site_fract_y
_atom_site_fract_z
Ba1 0.000 0.000 0.000
Ba2 0.161 0.000 0.505
Be1 0.414 0.000 0.252
Ni1 0.247 0.500 0.253
# - Excess energy over the best structure of this formula in the dataset: 0.000 eV per atom
# - Formation energy: 104.1 meV/atom
# - D(E_F): 4.14 states/eV/f.u.

***

[2]
# Ho2ScCd4 (PBE, relaxed)
data_Ho2ScCd4
_cell_length_a 5.374
_cell_length_b 5.374
_cell_length_c 15.374
_cell_angle_alpha 90.00
_cell_angle_beta 90.00
_cell_angle_gamma 90.00
_symmetry_space_group_name_H-M 'I 4/m m m'
_symmetry_Int_Tables_number 139
_symmetry_space_group_name_Hall '-I 4 2'
loop_
_atom_site_label
_atom_site_fract_x
_atom_site_fract_y
_atom_site_fract_z
Ho1 0.000 0.000 0.107
Sc1 0.000 0.000 0.500
Cd1 0.000 0.000 0.311
Cd2 0.000 0.500 0.000
# - Excess energy over the best structure of this formula in the dataset: 0.374 eV per atom
# - Formation energy: 259.7 meV/atom
# - D(E_F): 7.00 states/eV/f.u.

***

[3]
# YTl2Se (PBE, relaxed)
data_YTl2Se
_cell_length_a 5.943
_cell_length_b 5.964
_cell_length_c 6.538
_cell_angle_alpha 90.00
_cell_angle_beta 90.00
_cell_angle_gamma 90.00
_symmetry_space_group_name_H-M 'C m m m'
_symmetry_Int_Tables_number 65
_symmetry_space_group_name_Hall '-C 2 2'
loop_
_atom_site_label
_atom_site_fract_x
_atom_site_fract_y
_atom_site_fract_z
Y1 0.000 0.000 0.000
Tl1 0.249 0.000 0.500
Se1 0.000 0.500 0.000
# - Excess energy over the best structure of this formula in the dataset: 0.156 eV per atom
# - D(E_F): 3.52 states/eV/f.u.
# - E_form (uncorrected): -2.15 eV per formula unit

***

[4]
# Li3Pu3MnS8 (PBE, relaxed)
data_Li3Pu3MnS8
_cell_length_a 12.997
_cell_length_b 7.734
_cell_length_c 7.524
_cell_angle_alpha 90.00
_cell_angle_beta 123.57
_cell_angle_gamma 90.00
_symmetry_space_group_name_H-M 'C 1 2/m 1'
_symmetry_Int_Tables_number 12
_symmetry_space_group_name_Hall '-C 2y'
loop_
_atom_site_label
_atom_site_fract_x
_atom_site_fract_y
_atom_site_fract_z
Li1 0.000 0.000 0.000
Li2 0.250 0.250 0.500
Pu1 0.000 0.500 0.500
Pu2 0.250 0.250 0.000
Mn1 0.000 0.000 0.500
S1 0.003 0.227 0.272
S2 0.229 0.000 0.725
S3 0.247 0.000 0.251
# - D(E_F): 30.13 states/eV/f.u.
# - E_form (uncorrected): -19.47 eV per formula unit

***

[5]
# Ir3Cl (PBE, relaxed)
data_Ir3Cl
_cell_length_a 4.735
_cell_length_b 4.735
_cell_length_c 2.736
_cell_angle_alpha 90.00
_cell_angle_beta 90.00
_cell_angle_gamma 90.00
_symmetry_space_group_name_H-M 'P 4/m m m'
_symmetry_Int_Tables_number 123
_symmetry_space_group_name_Hall '-P 4 2'
loop_
_atom_site_label
_atom_site_fract_x
_atom_site_fract_y
_atom_site_fract_z
Ir1 0.000 0.000 0.000
Ir2 0.000 0.500 0.500
Cl1 0.500 0.500 0.000
# - Excess energy over the best structure of this formula in the dataset: 0.493 eV per atom
# - D(E_F): 6.36 states/eV/f.u.
# - E_form (uncorrected): 3.85 eV per formula unit

***

[6]
# HoTm3Th (PBE, relaxed)
data_HoTm3Th
_cell_length_a 8.829
_cell_length_b 14.538
_cell_length_c 9.985
_cell_angle_alpha 90.00
_cell_angle_beta 102.36
_cell_angle_gamma 90.00
_symmetry_space_group_name_H-M 'C 1 2/c 1'
_symmetry_Int_Tables_number 15
_symmetry_space_group_name_Hall '-C 2yc'
loop_
_atom_site_label
_atom_site_fract_x
_atom_site_fract_y
_atom_site_fract_z
Ho1 0.000 0.010 0.250
Ho2 0.000 0.401 0.750
Tm1 0.075 0.188 0.949
Tm2 0.092 0.399 0.117
Tm3 0.199 0.225 0.323
Th1 0.227 0.046 0.544
# - Excess energy over the best structure of this formula in the dataset: 0.000 eV per atom
# - Formation energy: 146.7 meV/atom
# - D(E_F): 6.89 states/eV/f.u.

***

[7]
# Na2Mg3Tl6 (PBE, relaxed)
data_Na2Mg3Tl6
_cell_length_a 3.5337
_cell_length_b 3.5337
_cell_length_c 82.5654
_cell_angle_alpha 90.00
_cell_angle_beta 90.00
_cell_angle_gamma 120.00
_symmetry_space_group_name_H-M 'R -3 m'
_symmetry_Int_Tables_number 166
_symmetry_space_group_name_Hall '-R 3 2"'
loop_
_atom_site_label
_atom_site_fract_x
_atom_site_fract_y
_atom_site_fract_z
Na1 0.0000 0.0000 0.0479
Mg1 0.0000 0.0000 0.2247
Mg2 0.0000 0.0000 0.5000
Tl1 0.0000 0.0000 0.1377
Tl2 0.0000 0.0000 0.3172
Tl3 0.0000 0.0000 0.4129
# - Formation energy: -44.5 meV/atom
# - D(E_F): 4.12 states/eV/f.u.

***

[8]
# K6Na12Tl (PBE, relaxed)
data_K6Na12Tl
_cell_length_a 15.7335
_cell_length_b 15.7335
_cell_length_c 12.4258
_cell_angle_alpha 90.00
_cell_angle_beta 90.00
_cell_angle_gamma 120.00
_symmetry_space_group_name_H-M 'R -3'
_symmetry_Int_Tables_number 148
_symmetry_space_group_name_Hall '-R 3'
loop_
_atom_site_label
_atom_site_fract_x
_atom_site_fract_y
_atom_site_fract_z
K1 0.0518 0.1769 0.2463
Na1 0.0407 0.2395 0.5464
Na2 0.0669 0.4769 0.6158
Tl1 0.0000 0.0000 0.5000
# - Formation energy: 36.2 meV/atom
# - D(E_F): 10.20 states/eV/f.u.